# PBE ZnHgPdF6, optimized geometry
data_ZnHgPdF6
_cell_length_a 5.5777
_cell_length_b 5.5777
_cell_length_c 9.8124
_cell_angle_alpha 90.00
_cell_angle_beta 90.00
_cell_angle_gamma 120.00
_symmetry_space_group_name_H-M 'P -3 1 c'
_symmetry_Int_Tables_number 163
_symmetry_space_group_name_Hall '-P 3 2c'
loop_
_atom_site_label
_atom_site_type_symbol
_atom_site_fract_x
_atom_site_fract_y
_atom_site_fract_z
_atom_site_occupancy
Zn1 Zn 0.3333 0.6667 0.2500 1
Hg1 Hg 0.0000 0.0000 0.0000 1
Pd1 Pd 0.3333 0.6667 0.7500 1
F1 F 0.0179 0.3589 0.1356 1
# Size of the total moment: 0.2222 μB per atom
# Electronic total energy: -64.67 eV/cell
# Formation energy (no corrections): -1.593 eV/atom